Material: TbHoRhPb
Method: DFT, PBE
State: optimized geometry

The structure belongs to space group P4mm (No. 99); the cell edges are 3.486, 3.486 and 8.018 Å and the angles 90.00°, 90.00° and 90.00°. The inequivalent atoms are Tb at (0.000, 0.000, 0.000), Ho at (0.000, 0.000, 0.586), Rh at (0.500, 0.500, 0.789) and Pb at (0.500, 0.500, 0.295).

The value obtained for the density of states at the Fermi level is 1.90 states/eV per cell. The calculation puts the formation energy at -0.685 eV/atom. The calculation puts the offset from the most stable computed form at 0.000 eV per atom. The calculation puts the total energy at -23.01 eV for the cell shown.